# Nb4Al2CN PBE-GGA optimized geometry
data_Nb4Al2CN
_chemical_formula_sum 'Nb4 Al2 C1 N1'
_cell_length_a 3.0796
_cell_length_b 3.0796
_cell_length_c 14.0737
_cell_angle_alpha 90.00
_cell_angle_beta 90.00
_cell_angle_gamma 120.00
_space_group_name_H-M_alt 'P -3 m 1'
_space_group_IT_number 164
_space_group_name_Hall '-P 3 2"'
loop_
_atom_site_label
_atom_site_type_symbol
_atom_site_fract_x
_atom_site_fract_y
_atom_site_fract_z
Nb1 Nb 0.3333 0.6667 0.0905
Nb2 Nb 0.3333 0.6667 0.4070
Al1 Al 0.3333 0.6667 0.7501
C1 C 0.0000 0.0000 0.0000
N1 N 0.0000 0.0000 0.5000
# Electronic total energy, eV per atom: -8.769

# Ba2TcOsS6 PBE-GGA optimized geometry
data_Ba2TcOsS6
_chemical_formula_sum 'Ba8 Tc4 Os4 S24'
_cell_length_a 9.583
_cell_length_b 9.583
_cell_length_c 9.583
_cell_angle_alpha 90.00
_cell_angle_beta 90.00
_cell_angle_gamma 90.00
_space_group_name_H-M_alt 'F m -3 m'
_space_group_IT_number 225
_space_group_name_Hall '-F 4 2 3'
loop_
_atom_site_label
_atom_site_type_symbol
_atom_site_fract_x
_atom_site_fract_y
_atom_site_fract_z
Ba1 Ba 0.250 0.250 0.250
Tc1 Tc 0.000 0.000 0.000
Os1 Os 0.000 0.000 0.500
S1 S 0.000 0.000 0.252
# Electronic total energy, eV per atom: -5.749